No. 1
Compound: TlAsPtO
Source: OQMD via LeMat-Bulk
Functional: GGA-PBE
Structure: optimized geometry

Output
DFT total energy in eV per atom: -4.61
M_tot in μB/cell: 0.000

a = 3.4818 Å, b = 6.2870 Å, c = 7.7419 Å
α = 90.00°, β = 90.00°, γ = 90.00°
Sites, in units of the cell vectors:
Tl1 0.0000 0.2250 0.0000
Tl2 0.0000 0.7750 0.5000
As1 0.0000 0.2085 0.3930
As2 0.0000 0.7915 0.8930
Pt1 0.5000 0.3663 0.5615
Pt2 0.5000 0.6337 0.0615
O1 0.5000 0.3562 0.8174
O2 0.5000 0.6438 0.3174



No. 2
Compound: KHfTlSe3
Source: OQMD via LeMat-Bulk
Functional: GGA-PBE
Structure: optimized geometry

Output
DFT total energy in eV per atom: -5.10
M_tot in μB/cell: 0.011

a = 15.6684 Å, b = 3.9257 Å, c = 11.9317 Å
α = 90.00°, β = 90.00°, γ = 90.00°
Sites, in units of the cell vectors:
K1 0.2344 0.2500 0.1142
K2 0.2656 0.7500 0.6142
K3 0.7344 0.2500 0.3858
K4 0.7656 0.7500 0.8858
Hf1 0.0708 0.7500 0.3731
Hf2 0.4292 0.2500 0.8731
Hf3 0.5708 0.7500 0.1269
Hf4 0.9292 0.2500 0.6269
Tl1 0.0766 0.7500 0.8696
Tl2 0.4234 0.2500 0.3696
Tl3 0.5766 0.7500 0.6304
Tl4 0.9234 0.2500 0.1304
Se1 0.0510 0.7500 0.6102
Se2 0.0684 0.7500 0.1568
Se3 0.1856 0.2500 0.3976
Se4 0.3144 0.7500 0.8976
Se5 0.4316 0.2500 0.6568
Se6 0.4490 0.2500 0.1102
Se7 0.5510 0.7500 0.8898
Se8 0.5684 0.7500 0.3432
Se9 0.6856 0.2500 0.1024
Se10 0.8144 0.7500 0.6024
Se11 0.9316 0.2500 0.8432
Se12 0.9490 0.2500 0.3898